Record 1
A plane-wave DFT calculation with GGA-PBE was carried out for TbTm10Sc4 after structural relaxation.

Properties
Raw total energy (eV/f.u.): -65.7
V (Å³ per atom): 32.30

Cell and atoms, written as POSCAR:
```
TbTm10Sc4
1.0
5.8871 0.0000 2.6583
2.9436 8.6611 1.3291
-0.6208 0.0000 9.2228
Tb Tm Sc
1 10 4
Direct
0.0000 0.0000 0.0000 Tb
0.2500 0.5000 0.5000 Tm
0.6315 0.4034 0.8422 Tm
0.9651 0.1578 0.4034 Tm
0.5263 0.8422 0.5966 Tm
0.8771 0.5966 0.1578 Tm
0.3685 0.5966 0.1578 Tm
0.7500 0.5000 0.5000 Tm
0.1229 0.4034 0.8422 Tm
0.4737 0.1578 0.4034 Tm
0.0349 0.8422 0.5966 Tm
0.4314 0.8941 0.2431 Sc
0.6745 0.7569 0.8941 Sc
0.3255 0.2431 0.1059 Sc
0.5686 0.1059 0.7569 Sc
```


Record 2
A plane-wave DFT calculation with GGA-PBE was carried out for Tb6Tm8Sc after structural relaxation.

Properties
Raw total energy (eV/f.u.): -65.8
V (Å³ per atom): 31.75

Cell and atoms, written as POSCAR:
```
Tb6Tm8Sc
1.0
6.4866 0.0000 0.0000
0.0000 7.9745 -4.6041
0.0000 0.0000 9.2082
Tb Tm Sc
6 8 1
Direct
0.6077 0.6764 0.0850 Tb
0.6077 0.9150 0.5914 Tb
0.6077 0.4086 0.3236 Tb
0.3923 0.3236 0.9150 Tb
0.3923 0.0850 0.4086 Tb
0.3923 0.5914 0.6764 Tb
0.8822 0.9917 0.3024 Tm
0.8822 0.6976 0.6893 Tm
0.8822 0.3107 0.0083 Tm
0.1178 0.0083 0.6976 Tm
0.1178 0.3024 0.3107 Tm
0.1178 0.6893 0.9917 Tm
0.8601 0.3333 0.6667 Tm
0.1399 0.6667 0.3333 Tm
0.5000 0.0000 0.0000 Sc
```


Record 3
A plane-wave DFT calculation with GGA-PBE was carried out for Tb9TmSc2 after structural relaxation.

Properties
Raw total energy (eV/f.u.): -58.4
V (Å³ per atom): 30.43

Cell and atoms, written as POSCAR:
```
Tb9TmSc2
1.0
4.9576 0.0000 0.0000
0.0000 4.9576 0.0000
0.0000 0.0000 14.8563
Tb Tm Sc
9 1 2
Direct
0.5000 0.5000 0.0000 Tb
0.5000 0.5000 0.3353 Tb
0.5000 0.5000 0.6647 Tb
0.5000 0.0000 0.1702 Tb
0.5000 0.0000 0.5000 Tb
0.5000 0.0000 0.8298 Tb
0.0000 0.5000 0.1702 Tb
0.0000 0.5000 0.5000 Tb
0.0000 0.5000 0.8298 Tb
0.0000 0.0000 0.0000 Tm
0.0000 0.0000 0.3349 Sc
0.0000 0.0000 0.6651 Sc
```


Record 4
A plane-wave DFT calculation with GGA-PBE was carried out for Tb3Tm4Sc4 after structural relaxation.

Properties
ΔE to the lowest computed polymorph (eV per atom): 0.000
V (Å³ per atom): 28.40

Cell and atoms, written as POSCAR:
```
Tb3Tm4Sc4
1.0
3.4251 -0.0025 -0.2911
-0.0469 4.7826 -0.5992
-0.0998 -0.0388 19.0818
Tb Tm Sc
3 4 4
Direct
0.6373 0.6369 0.2746 Tb
0.3626 0.3631 0.7255 Tb
0.0000 0.0000 0.0000 Tb
0.5471 0.5470 0.0941 Tm
0.4530 0.4531 0.9059 Tm
0.8157 0.8159 0.6312 Tm
0.1842 0.1841 0.3687 Tm
0.0919 0.0915 0.1835 Sc
0.2716 0.2717 0.5430 Sc
0.7282 0.7283 0.4568 Sc
0.9081 0.9085 0.8166 Sc
```


Record 5
A plane-wave DFT calculation with GGA-PBE was carried out for Tb5Tm5Sc2 after structural relaxation.

Properties
Raw total energy (eV/f.u.): -57.3
V (Å³ per atom): 29.84

Cell and atoms, written as POSCAR:
```
Tb5Tm5Sc2
1.0
-4.3103 -1.0544 -3.2157
5.4680 -3.0467 -1.6607
-4.8609 -6.3301 8.5910
Tb Tm Sc
5 5 2
Direct
0.5000 0.0000 0.5000 Tb
0.7049 0.4099 0.0491 Tb
0.5349 0.0698 0.2161 Tb
0.4651 0.9302 0.7839 Tb
0.2951 0.5901 0.9509 Tb
0.2021 0.4042 0.5463 Tm
0.7517 0.5034 0.7472 Tm
0.2483 0.4966 0.2528 Tm
0.7979 0.5958 0.4537 Tm
0.0000 0.0000 0.0000 Tm
0.0367 0.0734 0.7112 Sc
0.9633 0.9266 0.2888 Sc
```


Record 6
A plane-wave DFT calculation with GGA-PBE was carried out for Tb2TmSc6 after structural relaxation.

Properties
ΔE to the lowest computed polymorph (eV per atom): 0.041
V (Å³ per atom): 27.03

Cell and atoms, written as POSCAR:
```
Tb2TmSc6
1.0
3.2801 0.0003 0.0003
1.6406 9.2112 1.5646
1.6406 3.5260 8.6522
Tb Tm Sc
2 1 6
Direct
0.1513 0.3495 0.3495 Tb
0.8502 0.6505 0.6505 Tb
0.9999 0.0000 0.0000 Tm
0.3323 0.9935 0.3403 Sc
0.6661 0.0064 0.6597 Sc
0.6661 0.6597 0.0064 Sc
0.5009 0.3283 0.6717 Sc
0.5009 0.6717 0.3283 Sc
0.3323 0.3403 0.9935 Sc
```